# PBE+U ZrVO4, relaxed
data_ZrVO4
_chemical_formula_sum 'Zr2 V2 O8'
_cell_length_a 5.705
_cell_length_b 5.705
_cell_length_c 5.705
_cell_angle_alpha 107.27
_cell_angle_beta 107.27
_cell_angle_gamma 113.96
_symmetry_space_group_name_H-M 'P 1'
_symmetry_Int_Tables_number 1
loop_
_symmetry_equiv_pos_as_xyz
'x,y,z'
loop_
_atom_site_label
_atom_site_fract_x
_atom_site_fract_y
_atom_site_fract_z
O1 0.287 0.484 0.803
O2 0.828 0.020 0.808
O3 0.770 0.462 0.692
O4 0.770 0.078 0.308
O5 0.212 0.020 0.192
O6 0.681 0.484 0.197
O7 0.234 0.931 0.697
O8 0.234 0.537 0.303
Zr1 0.496 0.996 0.500
Zr2 0.746 0.746 0.000
V1 0.246 0.246 0.000
V2 0.996 0.496 0.500
# Total energy ... -102.69 eV for the cell shown
# Space group ... No. 109